[1]
The following is a PBE calculation of an optimized crystal structure of ScReTc2, from Alexandria.

Computed properties:
theoretical density	11271	kg/m³
total DFT energy (no corrections)	-9.93	eV/atom
relative energy among the computed polymorphs	14.30	kJ per mole of atoms
density of states at the Fermi level	2.7	states/eV/cell

Unit cell a=5.205 b=5.205 c=4.558 alpha=115.89 beta=115.89 gamma=34.98
Positions (direct):
Sc (0.000, 0.000, 0.000)
Re (0.500, 0.500, 0.500)
Tc (0.241, 0.241, 0.740)
Tc (0.759, 0.759, 0.260)

[2]
The following is a PBE calculation of an optimized crystal structure of ScRe2Tc, from Alexandria.

Computed properties:
theoretical density	13642	kg/m³
total DFT energy (no corrections)	-10.41	eV/atom
relative energy among the computed polymorphs	12.49	kJ per mole of atoms
density of states at the Fermi level	3.8	states/eV/cell

Unit cell a=5.213 b=5.213 c=2.774 alpha=99.89 beta=99.89 gamma=118.05
Positions (direct):
Sc (0.000, 0.000, 0.000)
Re (0.000, 0.500, 0.500)
Re (0.500, 0.000, 0.500)
Tc (0.500, 0.500, 0.000)

[3]
The following is a PBE calculation of an optimized crystal structure of ScReTc2, from Alexandria.

Computed properties:
theoretical density	11226	kg/m³
total DFT energy (no corrections)	-9.74	eV/atom
relative energy among the computed polymorphs	32.35	kJ per mole of atoms
density of states at the Fermi level	4.7	states/eV/cell

Unit cell a=2.749 b=2.749 c=8.920 alpha=90.00 beta=90.00 gamma=110.39
Positions (direct):
Sc (0.000, 0.000, 0.000)
Re (0.500, 0.500, 0.265)
Tc (0.000, 0.000, 0.505)
Tc (0.500, 0.500, 0.743)

[4]
The following is a PBE calculation of an optimized crystal structure of ScRe2Tc, from Alexandria.

Computed properties:
theoretical density	13365	kg/m³
total DFT energy (no corrections)	-10.18	eV/atom
relative energy among the computed polymorphs	34.36	kJ per mole of atoms
density of states at the Fermi level	5.3	states/eV/cell

Unit cell a=3.801 b=3.801 c=4.432 alpha=90.00 beta=90.00 gamma=90.00
Positions (direct):
Sc (0.000, 0.000, 0.000)
Re (0.000, 0.500, 0.500)
Re (0.500, 0.000, 0.500)
Tc (0.500, 0.500, 0.000)

[5]
The following is a PBE calculation of an optimized crystal structure of ScRe2Tc, from Alexandria.

Computed properties:
theoretical density	13490	kg/m³
total DFT energy (no corrections)	-10.25	eV/atom
relative energy among the computed polymorphs	27.33	kJ per mole of atoms
density of states at the Fermi level	5.0	states/eV/cell

Unit cell a=2.741 b=2.741 c=9.018 alpha=90.00 beta=90.00 gamma=110.56
Positions (direct):
Sc (0.000, 0.000, 0.000)
Re (0.500, 0.500, 0.261)
Re (0.500, 0.500, 0.739)
Tc (0.000, 0.000, 0.500)

[6]
The following is a PBE calculation of an optimized crystal structure of ScRe2Tc, from Alexandria.

Computed properties:
theoretical density	13605	kg/m³
total DFT energy (no corrections)	-10.41	eV/atom
relative energy among the computed polymorphs	12.62	kJ per mole of atoms
density of states at the Fermi level	2.9	states/eV/cell

Unit cell a=2.788 b=4.414 c=5.198 alpha=90.00 beta=100.49 gamma=90.00
Positions (direct):
Sc (0.000, 0.000, 0.000)
Re (0.275, 0.500, 0.739)
Re (0.499, 0.000, 0.500)
Tc (0.747, 0.500, 0.243)

[7]
The following is a PBE calculation of an optimized crystal structure of ScRe2Tc, from Alexandria.

Computed properties:
theoretical density	13474	kg/m³
total DFT energy (no corrections)	-10.26	eV/atom
relative energy among the computed polymorphs	26.84	kJ per mole of atoms
density of states at the Fermi level	4.8	states/eV/cell

Unit cell a=2.756 b=2.756 c=8.970 alpha=90.00 beta=90.00 gamma=111.26
Positions (direct):
Sc (0.000, 0.000, 0.000)
Re (0.000, 0.000, 0.505)
Re (0.500, 0.500, 0.263)
Tc (0.500, 0.500, 0.744)

[8]
The following is a PBE calculation of an optimized crystal structure of ScRe2Tc, from Alexandria.

Computed properties:
theoretical density	13659	kg/m³
total DFT energy (no corrections)	-10.35	eV/atom
relative energy among the computed polymorphs	17.95	kJ per mole of atoms
density of states at the Fermi level	3.1	states/eV/cell

Unit cell a=4.483 b=4.483 c=3.118 alpha=90.00 beta=90.00 gamma=90.00
Positions (direct):
Sc (0.000, 0.000, 0.000)
Re (0.000, 0.500, 0.500)
Re (0.500, 0.000, 0.500)
Tc (0.500, 0.500, 0.000)

- Which value of density of states at the Fermi level does entry 8 give?
  3.1 states/eV/cell